*i*
First-principles (PBE) data for a geometry-optimized SmHoEr3 structure, as listed in Alexandria.

Values from the calculation:
magnetization	0.00	μB per atom
ρ	8.7	g/cm³

Unit cell a=3.541 b=9.350 c=9.962 alpha=105.46 beta=90.06 gamma=100.87
Space group P-1 (No. 2)
Inequivalent atoms, fractional coordinates:
Sm (0.000, 0.000, 0.250)
Ho (0.200, 0.401, 0.350)
Er (0.200, 0.401, 0.850)
Er (0.399, 0.797, 0.449)
Er (0.399, 0.797, 0.950)

=====

*ii*
First-principles (PBE) data for a geometry-optimized SmHoEr3 structure, as listed in Alexandria.

Values from the calculation:
magnetization	0.00	μB per atom
ρ	8.6	g/cm³

Unit cell a=6.257 b=5.605 c=9.550 alpha=90.00 beta=109.11 gamma=90.00
Space group P2_1/m (No. 11)
Inequivalent atoms, fractional coordinates:
Sm (0.232, 0.250, 0.300)
Ho (0.367, 0.750, 0.900)
Er (0.036, 0.250, 0.901)
Er (0.165, 0.750, 0.501)
Er (0.434, 0.250, 0.701)

=====

Which one is most stable, and which one is least stable? *ii* is the most stable of them, while *i* is the least stable.